{"formula": "HgC3S", "functional": "GGA-PBE", "state": "relaxed", "lattice_angstrom": [[3.780, 0.000, 0.000], [0.000, 3.780, 0.000], [0.000, 0.000, 3.780]], "species": ["C", "C", "C", "S", "Hg"], "fractional_positions": [[0.500, 0.000, 0.000], [0.000, 0.000, 0.500], [0.000, 0.500, 0.000], [0.000, 0.000, 0.000], [0.500, 0.500, 0.500]], "vol_a3_per_atom": 10.80, "formation_energy_uncorrected_ev_per_atom": 2.739, "crystal_system": "cubic"}



{"formula": "TePd2Au2", "functional": "GGA-PBE", "state": "relaxed", "lattice_angstrom": [[3.780, 0.000, 0.000], [0.000, 3.780, 0.000], [1.890, 1.890, 6.998]], "species": ["Pd", "Te", "Au", "Au", "Pd"], "fractional_positions": [[0.597, 0.597, 0.806], [0.000, 0.000, 0.000], [0.750, 0.250, 0.500], [0.250, 0.750, 0.500], [0.403, 0.403, 0.194]], "vol_a3_per_atom": 20.00, "formation_energy_uncorrected_ev_per_atom": 0.046, "crystal_system": "tetragonal"}



{"formula": "CeHoPuGa", "functional": "GGA-PBE", "state": "relaxed", "lattice_angstrom": [[5.138, 0.000, 0.000], [2.569, 4.450, 0.000], [2.569, 1.483, 4.196]], "species": ["Pu", "Ce", "Ga", "Ho"], "fractional_positions": [[0.500, 0.500, 0.500], [0.750, 0.750, 0.750], [0.250, 0.250, 0.250], [0.000, 0.000, 0.000]], "vol_a3_per_atom": 23.98, "formation_enthalpy_0k_mev_per_atom": -77, "crystal_system": "cubic"}



{"formula": "RbMgTiCl6", "functional": "GGA-PBE", "state": "relaxed", "lattice_angstrom": [[-8.742, 0.244, 1.910], [-0.625, -9.039, -1.704], [6.016, 3.124, 6.160]], "species": ["Cl", "Cl", "Rb", "Cl", "Rb", "Cl", "Cl", "Mg", "Cl", "Cl", "Cl", "Cl", "Ti", "Cl", "Mg", "Ti", "Cl", "Cl"], "fractional_positions": [[0.429, 0.667, 0.250], [0.179, 0.333, 0.750], [0.089, 0.339, 0.177], [0.557, 0.307, 0.115], [0.911, 0.661, 0.823], [0.443, 0.693, 0.885], [0.571, 0.918, 0.750], [0.000, 0.000, 0.500], [0.429, 0.082, 0.250], [0.821, 0.082, 0.250], [0.827, 0.077, 0.654], [0.821, 0.667, 0.250], [0.500, 0.000, 0.000], [0.173, 0.923, 0.346], [0.500, 0.000, 0.500], [0.500, 0.500, 0.000], [0.571, 0.333, 0.750], [0.179, 0.918, 0.750]], "vol_a3_per_atom": 29.93, "formation_energy_uncorrected_ev_per_atom": -1.710, "crystal_system": "orthorhombic"}